[1]
This record from Alexandria via LeMat-Bulk describes Na6ZnPt2 after structural relaxation. The functional is PBE.

Geometry as POSCAR:
```
Na6ZnPt2
1.0
4.8576 0.0000 1.3335
2.2458 4.3073 1.3335
-0.1665 -0.1010 10.1205
Na Zn Pt
6 1 2
direct
0.5753 0.5753 0.2742
0.8105 0.8105 0.5684
0.7042 0.7042 0.8875
0.1895 0.1895 0.4316
0.4247 0.4247 0.7258
0.2958 0.2958 0.1125
0.0000 0.0000 0.0000
0.9151 0.9151 0.2546
0.0849 0.0849 0.7454
```

Properties
The formation energy comes out at -0.14 eV/atom.



[2]
This record from Alexandria via LeMat-Bulk describes KAlPt after structural relaxation. The functional is PBE.

Geometry as POSCAR:
```
KAlPt
1.0
4.2129 0.0000 0.0000
-2.1064 3.6484 0.0000
0.0000 0.0000 5.3622
K Al Pt
1 1 1
direct
0.6667 0.3333 0.3331
0.0000 0.0000 0.8334
0.3333 0.6667 0.8335
```

Properties
Its relative energy among the computed polymorphs is 158 meV/atom. The formation energy comes out at -0.40 eV/atom.



[3]
This record from Alexandria via LeMat-Bulk describes Ca2MgHPd after structural relaxation. The functional is PBE.

Geometry as POSCAR:
```
Ca2MgHPd
1.0
5.0736 0.0000 0.0000
0.0000 5.0736 0.0000
0.0000 0.0000 3.9834
H Ca Mg Pd
1 2 1 1
direct
0.0000 0.0000 0.0000
0.0000 0.5000 0.0000
0.5000 0.0000 0.0000
0.5000 0.5000 0.5000
0.0000 0.0000 0.5000
```

Properties
Its relative energy among the computed polymorphs is 18 meV/atom.



[4]
This record from Alexandria via LeMat-Bulk describes PmMgScIr after structural relaxation. The functional is PBE.

Geometry as POSCAR:
```
PmMgScIr
1.0
4.9580 0.0000 0.0000
2.4790 4.2938 0.0000
2.4790 1.4313 4.0482
Sc Mg Ir Pm
1 1 1 1
direct
0.0000 0.0000 0.0000
0.2500 0.2500 0.2500
0.7500 0.7500 0.7500
0.5000 0.5000 0.5000
```

Properties
The formation energy comes out at -0.39 eV/atom.



[5]
This record from Alexandria via LeMat-Bulk describes Dy2PuAu3 after structural relaxation. The functional is PBE.

Geometry as POSCAR:
```
Dy2PuAu3
1.0
3.5834 0.0000 0.0000
0.0000 3.5834 0.0000
0.0000 0.0000 11.0041
Dy Pu Au
2 1 3
direct
0.5000 0.5000 0.8347
0.5000 0.5000 0.1653
0.5000 0.5000 0.5000
0.0000 0.0000 0.0000
0.0000 0.0000 0.6808
0.0000 0.0000 0.3192
```

Properties
The formation energy comes out at -0.71 eV/atom.



[6]
This record from Alexandria via LeMat-Bulk describes Rb4SbSe5 after structural relaxation. The functional is PBE.

Geometry as POSCAR:
```
Rb4SbSe5
1.0
7.0342 0.0000 0.0000
3.5171 7.6008 0.0000
3.5171 0.0000 7.6008
Rb Sb Se
4 1 5
direct
0.4012 0.3913 0.8072
0.7925 0.8072 0.6087
0.2083 0.1928 0.3913
0.5997 0.6087 0.1928
0.0825 0.0000 0.0000
0.9268 0.2985 0.8406
0.2253 0.8406 0.7015
0.7674 0.1594 0.2985
0.0659 0.7015 0.1594
0.4407 0.0000 0.0000
```

Properties
As for the uncorrected formation energy: -0.730 eV per atom.



[7]
This record from Alexandria via LeMat-Bulk describes ZnP2W2 after structural relaxation. The functional is PBE.

Geometry as POSCAR:
```
ZnP2W2
1.0
6.9812 0.0000 0.0000
0.0000 6.9812 0.0000
0.0000 0.0000 2.9795
P Zn W
4 2 4
direct
0.3576 0.8576 0.0000
0.8576 0.6424 0.0000
0.6424 0.1424 0.0000
0.1424 0.3576 0.0000
0.0000 0.0000 0.0000
0.5000 0.5000 0.0000
0.1524 0.6524 0.5000
0.6524 0.8476 0.5000
0.8476 0.3476 0.5000
0.3476 0.1524 0.5000
```

Properties
Its relative energy among the computed polymorphs is 107 meV/atom. The formation energy comes out at 0.12 eV/atom.



[8]
This record from Alexandria via LeMat-Bulk describes Ca3In3Sn2 after structural relaxation. The functional is PBE.

Geometry as POSCAR:
```
Ca3In3Sn2
1.0
4.7436 0.0000 0.0000
-2.3718 5.8917 0.0000
0.0000 0.0000 16.5924
Ca In Sn
6 6 4
direct
0.9389 0.8778 0.3868
0.0611 0.1222 0.8868
0.9389 0.8778 0.1132
0.0611 0.1222 0.6132
0.6662 0.3325 0.2500
0.3338 0.6675 0.7500
0.6236 0.2473 0.4676
0.3764 0.7527 0.9676
0.6236 0.2473 0.0324
0.3764 0.7527 0.5324
0.3965 0.7930 0.2500
0.6035 0.2070 0.7500
0.7733 0.5466 0.8831
0.2267 0.4534 0.3831
0.7733 0.5466 0.6169
0.2267 0.4534 0.1169
```

Properties
The formation energy comes out at -0.44 eV/atom.



[9]
This record from Alexandria via LeMat-Bulk describes TaMn2Cu after structural relaxation. The functional is PBE.

Geometry as POSCAR:
```
TaMn2Cu
1.0
-3.7476 -2.7979 1.7878
4.4642 -2.2345 -0.3836
0.6934 -0.3207 2.5393
Cu Mn Ta
1 2 1
direct
0.0000 0.5000 0.5000
0.0000 0.0000 0.0000
0.5000 0.5000 0.0000
0.5000 0.0000 0.5000
```

Properties
The formation energy comes out at 0.25 eV/atom.



[10]
This record from Alexandria via LeMat-Bulk describes Dy2Sc7 after structural relaxation. The functional is PBE.

Geometry as POSCAR:
```
Dy2Sc7
1.0
5.7532 0.0000 0.0000
-2.8766 4.9824 0.0000
0.0000 0.0000 8.1234
Dy Sc
2 7
direct
0.3333 0.6667 0.0000
0.6667 0.3333 0.0000
0.0000 0.0000 0.0000
0.6691 0.0000 0.3396
0.0000 0.6691 0.3396
0.3309 0.3309 0.3396
0.0000 0.3309 0.6604
0.3309 0.0000 0.6604
0.6691 0.6691 0.6604
```

Properties
Its relative energy among the computed polymorphs is 0 meV/atom. The formation energy comes out at 0.05 eV/atom.



[11]
This record from Alexandria via LeMat-Bulk describes Ce4YHg5 after structural relaxation. The functional is PBE.

Geometry as POSCAR:
```
Ce4YHg5
1.0
-0.7009 3.3401 0.7679
-2.7802 -0.0958 -2.1209
-12.5175 -6.4662 16.7006
Ce Y Hg
4 1 5
direct
0.0000 0.0000 0.1952
0.0000 0.0000 0.3986
0.0000 0.0000 0.6014
0.0000 0.0000 0.8048
0.0000 0.0000 0.0000
0.5000 0.5000 0.0933
0.5000 0.5000 0.2968
0.5000 0.5000 0.5000
0.5000 0.5000 0.7032
0.5000 0.5000 0.9067
```

Properties
The formation energy comes out at -0.33 eV/atom.



[12]
This record from Alexandria via LeMat-Bulk describes CrBiPtRh2 after structural relaxation. The functional is PBE.

Geometry as POSCAR:
```
CrBiPtRh2
1.0
4.4289 0.0000 0.0000
0.0000 5.0017 0.0000
0.0000 0.0000 4.4289
Cr Rh Bi Pt
1 2 1 1
direct
0.0000 0.0000 0.0000
0.0000 0.0000 0.5000
0.5000 0.0000 0.0000
0.0000 0.5000 0.0000
0.5000 0.5000 0.5000
```

Properties
The formation energy comes out at 0.93 eV/atom.



no.,electronic total energy (Ry per atom)
1,-0.1840
2,-0.2957
3,-0.2334
4,-0.4244
5,-0.4612
6,-0.2404
7,-0.5500
8,-0.2363
9,-0.6119
10,-0.4332
11,-0.2576
12,-0.4353